Tm14PuSc after structural relaxation. Source: the Alexandria database, functional GGA-PBE.

The space group is Amm2 (No. 38) and the conventional cell measures 11.002, 7.064 and 12.228 Å, with angles of 90.00, 90.00 and 90.00 degrees. The distinct sites, in fractional coordinates, are Tm at (0.000, 0.000, 0.000), Tm at (0.000, 0.000, 0.500), Tm at (0.000, 0.249, 0.250), Tm at (0.251, 0.000, 0.334), Tm at (0.251, 0.000, 0.834), Tm at (0.254, 0.249, 0.082), Tm at (0.500, 0.248, 0.751), Pu at (0.500, 0.000, 0.999) and Sc at (0.500, 0.000, 0.500).

Its total magnetization is 5.65 μB per formula unit. As for the uncorrected energy: -5.1867 eV/atom. The density of states at the Fermi level comes out at 1.78 states/eV per atom.

Tm2PuSc after structural relaxation. Source: the Alexandria database, functional GGA-PBE.

The space group is R-3m (No. 166, hexagonal axes) and the conventional cell measures 3.4039, 3.4039 and 33.3231 Å, with angles of 90.00, 90.00 and 120.00 degrees. The distinct sites, in fractional coordinates, are Tm at (0.0000, 0.0000, 0.2481), Pu at (0.0000, 0.0000, 0.0000) and Sc at (0.0000, 0.0000, 0.5000).

As for the energy relative to the lowest polymorph listed for this composition: 0.016 eV per atom. Its total magnetization is 5.86 μB per formula unit. The density of states at the Fermi level comes out at 2.85 states/eV per atom.

TmPu2Sc after structural relaxation. Source: the Alexandria database, functional GGA-PBE.

The space group is R3m (No. 160, hexagonal axes) and the conventional cell measures 3.3125, 3.3125 and 33.9746 Å, with angles of 90.00, 90.00 and 120.00 degrees. The distinct sites, in fractional coordinates, are Tm at (0.0000, 0.0000, 0.0000), Pu at (0.0000, 0.0000, 0.0935), Pu at (0.0000, 0.0000, 0.2518) and Sc at (0.0000, 0.0000, 0.5071).

As for the energy relative to the lowest polymorph listed for this composition: 0.064 eV per atom. Its total magnetization is 11.45 μB per formula unit. The density of states at the Fermi level comes out at 3.99 states/eV per atom.

TmPu2Sc after structural relaxation. Source: the Alexandria database, functional GGA-PBE.

The space group is P4/mmm (No. 123) and the conventional cell measures 4.636, 4.636 and 4.938 Å, with angles of 90.00, 90.00 and 90.00 degrees. The distinct sites, in fractional coordinates, are Tm at (0.000, 0.000, 0.000), Pu at (0.000, 0.500, 0.500) and Sc at (0.500, 0.500, 0.000).

As for the energy relative to the lowest polymorph listed for this composition: 0.005 eV per atom. Its total magnetization is 12.28 μB per formula unit. The density of states at the Fermi level comes out at 3.59 states/eV per atom.

Tm4PuSc5 after structural relaxation. Source: the Alexandria database, functional GGA-PBE.

The space group is C2/m (No. 12) and the conventional cell measures 15.895, 3.325 and 10.602 Å, with angles of 90.00, 90.36 and 90.00 degrees. The distinct sites, in fractional coordinates, are Tm at (0.030, 0.000, 0.249), Tm at (0.159, 0.500, 0.749), Pu at (0.000, 0.500, 0.500), Sc at (0.000, 0.500, 0.000), Sc at (0.172, 0.000, 0.459) and Sc at (0.173, 0.000, 0.040).

Its total magnetization is 5.60 μB per formula unit. As for the uncorrected energy: -6.1677 eV/atom. The density of states at the Fermi level comes out at 1.70 states/eV per atom.

Tm2PuSc after structural relaxation. Source: the Alexandria database, functional GGA-PBE.

The space group is P4/mmm (No. 123) and the conventional cell measures 4.793, 4.793 and 4.842 Å, with angles of 90.00, 90.00 and 90.00 degrees. The distinct sites, in fractional coordinates, are Tm at (0.000, 0.500, 0.000), Pu at (0.000, 0.000, 0.500) and Sc at (0.500, 0.500, 0.500).

As for the energy relative to the lowest polymorph listed for this composition: 0.047 eV per atom. Its total magnetization is 6.35 μB per formula unit. The density of states at the Fermi level comes out at 3.79 states/eV per atom.

Tm3Pu2Sc8 after structural relaxation. Source: the Alexandria database, functional GGA-PBE.

The space group is Pbam (No. 55) and the conventional cell measures 10.846, 19.483 and 3.232 Å, with angles of 90.00, 90.00 and 90.00 degrees. The distinct sites, in fractional coordinates, are Tm at (0.000, 0.000, 0.000), Tm at (0.154, 0.297, 0.000), Pu at (0.192, 0.909, 0.500), Sc at (0.029, 0.161, 0.000), Sc at (0.042, 0.430, 0.500), Sc at (0.123, 0.707, 0.500) and Sc at (0.210, 0.555, 0.000).

Its total magnetization is 11.09 μB per formula unit. As for the uncorrected energy: -6.9348 eV/atom. The density of states at the Fermi level comes out at 1.95 states/eV per atom.

Tm2PuSc3 after structural relaxation. Source: the Alexandria database, functional GGA-PBE.

The space group is Cmmm (No. 65) and the conventional cell measures 4.755, 14.222 and 4.682 Å, with angles of 90.00, 90.00 and 90.00 degrees. The distinct sites, in fractional coordinates, are Tm at (0.000, 0.165, 0.000), Pu at (0.000, 0.500, 0.000), Sc at (0.000, 0.000, 0.500) and Sc at (0.000, 0.338, 0.500).

Its total magnetization is 6.50 μB per formula unit. As for the uncorrected energy: -6.9631 eV/atom. The density of states at the Fermi level comes out at 2.42 states/eV per atom.

TmPuSc3 after structural relaxation. Source: the Alexandria database, functional GGA-PBE.

The space group is C2/m (No. 12) and the conventional cell measures 15.789, 5.278 and 6.442 Å, with angles of 90.00, 106.50 and 90.00 degrees. The distinct sites, in fractional coordinates, are Tm at (0.192, 0.000, 0.056), Pu at (0.098, 0.500, 0.651), Sc at (0.011, 0.000, 0.261), Sc at (0.093, 0.500, 0.152) and Sc at (0.209, 0.000, 0.567).

As for the energy relative to the lowest polymorph listed for this composition: 0.000 eV per atom. Its total magnetization is 6.09 μB per formula unit. The density of states at the Fermi level comes out at 1.83 states/eV per atom.

TmPuSc6 after structural relaxation. Source: the Alexandria database, functional GGA-PBE.

The space group is Cmmm (No. 65) and the conventional cell measures 9.342, 9.369 and 4.598 Å, with angles of 90.00, 90.00 and 90.00 degrees. The distinct sites, in fractional coordinates, are Tm at (0.000, 0.000, 0.000), Pu at (0.000, 0.500, 0.000), Sc at (0.000, 0.255, 0.500), Sc at (0.245, 0.500, 0.500) and Sc at (0.250, 0.250, 0.000).

As for the energy relative to the lowest polymorph listed for this composition: 0.000 eV per atom. Its total magnetization is 6.08 μB per formula unit. The density of states at the Fermi level comes out at 2.16 states/eV per atom.

TmPu4Sc after structural relaxation. Source: the Alexandria database, functional GGA-PBE.

The space group is F-43m (No. 216) and the conventional cell measures 8.584, 8.584 and 8.584 Å, with angles of 90.00, 90.00 and 90.00 degrees. The distinct sites, in fractional coordinates, are Tm at (0.000, 0.000, 0.000), Pu at (0.125, 0.125, 0.375) and Sc at (0.250, 0.250, 0.750).

Its total magnetization is 22.40 μB per formula unit. As for the uncorrected energy: -11.0917 eV/atom. The density of states at the Fermi level comes out at 4.51 states/eV per atom.

Tm2Pu2Sc7 after structural relaxation. Source: the Alexandria database, functional GGA-PBE.

The space group is C2/m (No. 12) and the conventional cell measures 6.112, 10.927 and 8.674 Å, with angles of 90.00, 100.73 and 90.00 degrees. The distinct sites, in fractional coordinates, are Tm at (0.094, 0.000, 0.221), Pu at (0.000, 0.227, 0.500), Sc at (0.000, 0.500, 0.000), Sc at (0.150, 0.500, 0.377) and Sc at (0.229, 0.270, 0.167).

Its total magnetization is 12.17 μB per formula unit. As for the uncorrected energy: -7.2812 eV/atom. The density of states at the Fermi level comes out at 1.95 states/eV per atom.

Tm2PuSc after structural relaxation. Source: the Alexandria database, functional GGA-PBE.

The space group is P2_1/m (No. 11) and the conventional cell measures 7.175, 3.580 and 8.191 Å, with angles of 90.00, 91.40 and 90.00 degrees. The distinct sites, in fractional coordinates, are Tm at (0.128, 0.250, 0.159), Tm at (0.368, 0.750, 0.860), Pu at (0.435, 0.750, 0.431) and Sc at (0.140, 0.250, 0.589).

As for the energy relative to the lowest polymorph listed for this composition: 0.044 eV per atom. Its total magnetization is 0.00 μB per formula unit. The density of states at the Fermi level comes out at 1.56 states/eV per atom.

Tm3PuSc7 after structural relaxation. Source: the Alexandria database, functional GGA-PBE.

The space group is Immm (No. 71) and the conventional cell measures 5.382, 10.499 and 10.511 Å, with angles of 90.00, 90.00 and 90.00 degrees. The distinct sites, in fractional coordinates, are Tm at (0.000, 0.000, 0.000), Tm at (0.000, 0.500, 0.294), Pu at (0.000, 0.000, 0.500), Sc at (0.000, 0.203, 0.205), Sc at (0.000, 0.282, 0.500) and Sc at (0.000, 0.500, 0.000).

Its total magnetization is 5.88 μB per formula unit. As for the uncorrected energy: -6.2436 eV/atom. The density of states at the Fermi level comes out at 1.78 states/eV per atom.

Tm3PuSc3 after structural relaxation. Source: the Alexandria database, functional GGA-PBE.

The space group is R-3 (No. 148, hexagonal axes) and the conventional cell measures 5.8610, 5.8610 and 40.2122 Å, with angles of 90.00, 90.00 and 120.00 degrees. The distinct sites, in fractional coordinates, are Tm at (0.0001, 0.3330, 0.0684), Pu at (0.0000, 0.0000, 0.3333) and Sc at (0.9999, 0.3325, 0.8648).

Its total magnetization is 6.17 μB per formula unit. As for the uncorrected energy: -6.4901 eV/atom. The density of states at the Fermi level comes out at 2.40 states/eV per atom.

Tm4PuSc after structural relaxation. Source: the Alexandria database, functional GGA-PBE.

The space group is I4_1md (No. 109) and the conventional cell measures 10.985, 10.985 and 6.573 Å, with angles of 90.00, 90.00 and 90.00 degrees. The distinct sites, in fractional coordinates, are Tm at (0.000, 0.257, 0.000), Tm at (0.000, 0.267, 0.494), Pu at (0.000, 0.000, 0.003) and Sc at (0.000, 0.000, 0.518).

As for the energy relative to the lowest polymorph listed for this composition: 0.615 eV per atom. Its total magnetization is 6.48 μB per formula unit. The density of states at the Fermi level comes out at 1.39 states/eV per atom.

Tm4PuSc after structural relaxation. Source: the Alexandria database, functional GGA-PBE.

The space group is C2/c (No. 15) and the conventional cell measures 10.263, 5.968 and 11.594 Å, with angles of 90.00, 107.04 and 90.00 degrees. The distinct sites, in fractional coordinates, are Tm at (0.081, 0.244, 0.498), Tm at (0.169, 0.423, 0.250), Pu at (0.000, 0.085, 0.750) and Sc at (0.250, 0.250, 0.000).

As for the energy relative to the lowest polymorph listed for this composition: 0.000 eV per atom. Its total magnetization is 6.71 μB per formula unit. The density of states at the Fermi level comes out at 2.63 states/eV per atom.

Tm2PuSc after structural relaxation. Source: the Alexandria database, functional GGA-PBE.

The space group is Fm-3m (No. 225) and the conventional cell measures 7.640, 7.640 and 7.640 Å, with angles of 90.00, 90.00 and 90.00 degrees. The distinct sites, in fractional coordinates, are Tm at (0.250, 0.250, 0.250), Pu at (0.000, 0.000, 0.000) and Sc at (0.000, 0.000, 0.500).

As for the energy relative to the lowest polymorph listed for this composition: 0.078 eV per atom. Its total magnetization is 6.85 μB per formula unit. The density of states at the Fermi level comes out at 2.47 states/eV per atom.

Y2TmPuSc4 after structural relaxation. Source: the Alexandria database, functional GGA-PBE.

The space group is Imma (No. 74) and the conventional cell measures 6.513, 11.179 and 12.356 Å, with angles of 90.00, 90.00 and 90.00 degrees. The distinct sites, in fractional coordinates, are Y at (0.000, 0.000, 0.000), Y at (0.250, 0.250, 0.250), Tm at (0.250, 0.250, 0.750), Pu at (0.000, 0.000, 0.500), Sc at (0.000, 0.004, 0.736) and Sc at (0.233, 0.250, 0.502).

Its total magnetization is 8.95 μB per formula unit. As for the uncorrected energy: -6.6770 eV/atom. The density of states at the Fermi level comes out at 2.44 states/eV per atom.

Y2Tm6PuSc3 after structural relaxation. Source: the Alexandria database, functional GGA-PBE.

The space group is C2/m (No. 12) and the conventional cell measures 5.972, 10.344 and 11.307 Å, with angles of 90.00, 100.18 and 90.00 degrees. The distinct sites, in fractional coordinates, are Y at (0.000, 0.167, 0.000), Tm at (0.244, 0.500, 0.742), Tm at (0.249, 0.165, 0.743), Pu at (0.000, 0.500, 0.000), Sc at (0.000, 0.000, 0.500) and Sc at (0.000, 0.333, 0.500).

Its total magnetization is 6.68 μB per formula unit. As for the uncorrected energy: -6.0228 eV/atom. The density of states at the Fermi level comes out at 2.19 states/eV per atom.

TmPuZrSc after structural relaxation. Source: the Alexandria database, functional GGA-PBE.

The space group is F-43m (No. 216) and the conventional cell measures 7.426, 7.426 and 7.426 Å, with angles of 90.00, 90.00 and 90.00 degrees. The distinct sites, in fractional coordinates, are Tm at (0.000, 0.000, 0.000), Pu at (0.000, 0.000, 0.500), Zr at (0.250, 0.250, 0.250) and Sc at (0.250, 0.250, 0.750).

Its total magnetization is 6.65 μB per formula unit. As for the uncorrected energy: -8.2274 eV/atom. The density of states at the Fermi level comes out at 2.70 states/eV per atom.

Pu2ScU after structural relaxation. Source: the Alexandria database, functional GGA-PBE.

The space group is P4/mmm (No. 123) and the conventional cell measures 3.254, 3.254 and 8.674 Å, with angles of 90.00, 90.00 and 90.00 degrees. The distinct sites, in fractional coordinates, are Pu at (0.000, 0.000, 0.225), Sc at (0.500, 0.500, 0.500) and U at (0.500, 0.500, 0.000).

Its total magnetization is 10.17 μB per formula unit. As for the uncorrected energy: -11.3795 eV/atom. The density of states at the Fermi level comes out at 2.75 states/eV per atom.

Pu2ScV after structural relaxation. Source: the Alexandria database, functional GGA-PBE.

The space group is R-3m (No. 166, hexagonal axes) and the conventional cell measures 3.1990, 3.1990 and 29.3595 Å, with angles of 90.00, 90.00 and 120.00 degrees. The distinct sites, in fractional coordinates, are Pu at (0.0000, 0.0000, 0.2410), Sc at (0.0000, 0.0000, 0.0000) and V at (0.0000, 0.0000, 0.5000).

Its total magnetization is 9.64 μB per formula unit. As for the uncorrected energy: -10.6916 eV/atom. The density of states at the Fermi level comes out at 3.28 states/eV per atom.